Record 1
The following is a DFT calculation (PBE) of a relaxed Sc2TcW crystal.

The crystal system is orthorhombic. The calculation puts the total energy at -35.50 eV/cell. The density of states at the Fermi level is 1.05 states/eV per atom. The space-group type is No. 65.

Cell: 2.885 2.885 9.077 Å, 90.00 90.00 111.20°
Atoms (fractional coordinates):
Sc (0.000, 0.000, 0.014)
Sc (0.000, 0.000, 0.486)
Tc (0.500, 0.500, 0.250)
W (0.500, 0.500, 0.750)

***

Record 2
The following is a DFT calculation (PBE) of a relaxed Sc2TcW crystal.

The crystal system is orthorhombic. The calculation puts the total energy at -35.07 eV/cell. The density of states at the Fermi level is 1.19 states/eV per atom. The space-group type is No. 47.

Cell: 2.785 4.670 5.488 Å, 90.00 90.00 90.00°
Atoms (fractional coordinates):
Sc (0.000, 0.000, 0.001)
Sc (0.000, 0.000, 0.499)
Tc (0.500, 0.500, 0.250)
W (0.500, 0.500, 0.750)

***

Record 3
The following is a DFT calculation (PBE) of a relaxed Sc2TcW crystal.

The crystal system is orthorhombic. The calculation puts the total energy at -35.47 eV/cell. The density of states at the Fermi level is 1.03 states/eV per atom. The space-group type is No. 47.

Cell: 3.301 4.634 4.594 Å, 90.00 90.00 90.00°
Atoms (fractional coordinates):
Sc (0.000, 0.000, 0.000)
Sc (0.500, 0.500, 0.000)
Tc (0.500, 0.000, 0.500)
W (0.000, 0.500, 0.500)

***

Record 4
The following is a DFT calculation (PBE) of a relaxed Sc2TcW crystal.

The crystal system is monoclinic. The calculation puts the total energy at -35.46 eV/cell. The density of states at the Fermi level is 1.16 states/eV per atom. The space-group type is No. 10.

Cell: 4.551 2.882 5.503 Å, 77.73 90.00 90.00°
Atoms (fractional coordinates):
Sc (0.000, 0.053, 0.005)
Sc (0.000, 0.447, 0.495)
Tc (0.500, 0.250, 0.250)
W (0.500, 0.750, 0.750)

***

Record 5
The following is a DFT calculation (PBE) of a relaxed Sc2TcW crystal.

The crystal system is monoclinic. The calculation puts the total energy at -35.39 eV/cell. The density of states at the Fermi level is 1.07 states/eV per atom. The space-group type is No. 12.

Cell: 5.483 5.384 2.863 Å, 80.34 78.90 117.26°
Atoms (fractional coordinates):
Sc (0.000, 0.000, 0.000)
Sc (0.500, 0.000, 0.500)
Tc (0.000, 0.500, 0.500)
W (0.500, 0.500, 0.000)

***

Record 6
The following is a DFT calculation (PBE) of a relaxed ScTcW2 crystal.

The crystal system is tetragonal. The calculation puts the total energy at -41.74 eV/cell. The density of states at the Fermi level is 1.03 states/eV per atom. The space-group type is No. 123.

Cell: 4.553 4.553 3.150 Å, 90.00 90.00 90.00°
Atoms (fractional coordinates):
Sc (0.500, 0.000, 0.500)
Tc (0.000, 0.500, 0.500)
W (0.000, 0.000, 0.000)
W (0.500, 0.500, 0.000)

***

Record 7
The following is a DFT calculation (PBE) of a relaxed ScTcW2 crystal.

The crystal system is orthorhombic. The calculation puts the total energy at -42.91 eV/cell. The density of states at the Fermi level is 0.55 states/eV per atom. The space-group type is No. 71.

Cell: 5.415 5.415 4.464 Å, 65.70 65.70 33.96°
Atoms (fractional coordinates):
Sc (0.250, 0.250, 0.250)
Tc (0.750, 0.750, 0.750)
W (0.013, 0.013, 0.987)
W (0.487, 0.487, 0.513)

***

Record 8
The following is a DFT calculation (PBE) of a relaxed ScTcW2 crystal.

The crystal system is trigonal. The calculation puts the total energy at -41.45 eV/cell. The density of states at the Fermi level is 1.05 states/eV per atom. The space-group type is No. 160.

Cell: 9.272 9.272 9.272 Å, 18.14 18.14 18.14°
Atoms (fractional coordinates):
Sc (0.497, 0.497, 0.497)
Tc (0.746, 0.746, 0.746)
W (0.004, 0.004, 0.004)
W (0.253, 0.253, 0.253)

***

Record 9
The following is a DFT calculation (PBE) of a relaxed Sc2TcW crystal.

The crystal system is monoclinic. The calculation puts the total energy at -35.75 eV/cell. The density of states at the Fermi level is 1.13 states/eV per atom. The space-group type is No. 6.

Cell: 4.391 3.011 5.666 Å, 77.59 90.00 90.00°
Atoms (fractional coordinates):
Sc (0.000, 0.009, 0.981)
Sc (0.500, 0.278, 0.271)
Tc (0.000, 0.516, 0.524)
W (0.500, 0.697, 0.723)

***

Record 10
The following is a DFT calculation (PBE) of a relaxed ScTcW2 crystal.

The crystal system is trigonal. The calculation puts the total energy at -41.36 eV/cell. The density of states at the Fermi level is 1.63 states/eV per atom. The space-group type is No. 166.

Cell: 9.402 9.402 9.402 Å, 17.75 17.75 17.75°
Atoms (fractional coordinates):
Sc (0.250, 0.250, 0.250)
Tc (0.750, 0.750, 0.750)
W (0.005, 0.005, 0.005)
W (0.495, 0.495, 0.495)

***

Record 11
The following is a DFT calculation (PBE) of a relaxed Sc2TcW2 crystal.

The crystal system is tetragonal. The calculation puts the total energy at -95.50 eV/cell. The density of states at the Fermi level is 0.71 states/eV per atom. The space-group type is No. 127.

Cell: 6.458 6.458 4.667 Å, 90.00 90.00 90.00°
Atoms (fractional coordinates):
Sc (0.169, 0.669, 0.500)
Sc (0.669, 0.831, 0.500)
Sc (0.831, 0.331, 0.500)
Sc (0.331, 0.169, 0.500)
Tc (0.000, 0.000, 0.000)
Tc (0.500, 0.500, 0.000)
W (0.361, 0.861, 0.000)
W (0.861, 0.639, 0.000)
W (0.639, 0.139, 0.000)
W (0.139, 0.361, 0.000)

***

Record 12
The following is a DFT calculation (PBE) of a relaxed ScTcW crystal.

The crystal system is orthorhombic. The calculation puts the total energy at -120.61 eV/cell. The density of states at the Fermi level is 0.71 states/eV per atom. The space-group type is No. 38.

Cell: 5.367 5.367 8.532 Å, 90.00 90.00 119.63°
Atoms (fractional coordinates):
Sc (0.333, 0.667, 0.308)
Sc (0.667, 0.333, 0.184)
Sc (0.667, 0.333, 0.816)
Sc (0.333, 0.667, 0.692)
W (0.999, 0.001, 0.242)
W (0.999, 0.001, 0.758)
W (0.340, 0.169, 0.500)
W (0.831, 0.660, 0.500)
Tc (0.829, 0.171, 0.500)
Tc (0.655, 0.827, 0.000)
Tc (0.173, 0.345, 0.000)
Tc (0.174, 0.826, 0.000)

***

Record 13
The following is a DFT calculation (PBE) of a relaxed ScTcW2 crystal.

The crystal system is monoclinic. The calculation puts the total energy at -42.29 eV/cell. The density of states at the Fermi level is 1.02 states/eV per atom. The space-group type is No. 12.

Cell: 5.325 5.325 2.789 Å, 80.56 80.56 118.77°
Atoms (fractional coordinates):
Sc (0.500, 0.000, 0.500)
Tc (0.000, 0.500, 0.500)
W (0.000, 0.000, 0.000)
W (0.500, 0.500, 0.000)

***

Record 14
The following is a DFT calculation (PBE) of a relaxed Sc4TcW crystal.

The crystal system is cubic. The calculation puts the total energy at -44.25 eV/cell. The density of states at the Fermi level is 1.41 states/eV per atom. The space-group type is No. 216.

Cell: 5.456 5.456 5.456 Å, 60.00 60.00 60.00°
Atoms (fractional coordinates):
Sc (0.876, 0.375, 0.375)
Sc (0.375, 0.375, 0.876)
Sc (0.375, 0.876, 0.375)
Sc (0.375, 0.375, 0.375)
Tc (0.750, 0.750, 0.750)
W (0.000, 0.000, 0.000)

***

Record 15
The following is a DFT calculation (PBE) of a relaxed Sc2TcW crystal.

The crystal system is trigonal. The calculation puts the total energy at -35.20 eV/cell. The density of states at the Fermi level is 1.23 states/eV per atom. The space-group type is No. 160.

Cell: 9.615 9.615 9.615 Å, 18.20 18.20 18.20°
Atoms (fractional coordinates):
Sc (0.009, 0.009, 0.009)
Sc (0.239, 0.239, 0.239)
Tc (0.494, 0.494, 0.494)
W (0.758, 0.758, 0.758)

***

Record 16
The following is a DFT calculation (PBE) of a relaxed ScTcW crystal.

The crystal system is orthorhombic. The calculation puts the total energy at -28.83 eV/cell. The density of states at the Fermi level is 1.48 states/eV per atom. The space-group type is No. 44.

Cell: 4.781 4.781 4.781 Å, 145.64 123.19 68.10°
Atoms (fractional coordinates):
Sc (0.998, 0.998, 0.000)
Tc (0.663, 0.663, 0.000)
W (0.338, 0.338, 0.000)

***

Record 17
The following is a DFT calculation (PBE) of a relaxed Sc2TcW crystal.

The crystal system is tetragonal. The calculation puts the total energy at -34.82 eV/cell. The density of states at the Fermi level is 1.74 states/eV per atom. The space-group type is No. 123.

Cell: 4.645 4.645 3.287 Å, 90.00 90.00 90.00°
Atoms (fractional coordinates):
Sc (0.000, 0.000, 0.000)
Sc (0.500, 0.500, 0.000)
Tc (0.500, 0.000, 0.500)
W (0.000, 0.500, 0.500)

***

Record 18
The following is a DFT calculation (PBE) of a relaxed Sc2TcW crystal.

The crystal system is orthorhombic. The calculation puts the total energy at -35.47 eV/cell. The density of states at the Fermi level is 1.17 states/eV per atom. The space-group type is No. 35.

Cell: 2.894 2.894 9.451 Å, 90.00 90.00 109.96°
Atoms (fractional coordinates):
Sc (0.000, 0.000, 0.973)
Sc (0.500, 0.500, 0.286)
Tc (0.000, 0.000, 0.514)
W (0.500, 0.500, 0.726)

***

Record 19
The following is a DFT calculation (PBE) of a relaxed ScTcW2 crystal.

The crystal system is monoclinic. The calculation puts the total energy at -42.38 eV/cell. The density of states at the Fermi level is 0.89 states/eV per atom. The space-group type is No. 10.

Cell: 4.556 2.817 5.239 Å, 78.42 90.00 90.00°
Atoms (fractional coordinates):
Sc (0.500, 0.250, 0.250)
Tc (0.500, 0.750, 0.750)
W (0.000, 0.977, 0.998)
W (0.000, 0.523, 0.502)

***

Record 20
The following is a DFT calculation (PBE) of a relaxed Sc2TcW crystal.

The crystal system is trigonal. The calculation puts the total energy at -33.90 eV/cell. The density of states at the Fermi level is 1.05 states/eV per atom. The space-group type is No. 166.

Cell: 9.897 9.897 9.897 Å, 17.25 17.25 17.25°
Site moments in Bohr magnetons follow the coordinates.
Atoms (fractional coordinates):
Sc (0.906, 0.906, 0.906)  0.06
Sc (0.094, 0.094, 0.094)  0.06
Tc (0.500, 0.500, 0.500)  0.04
W (0.000, 0.000, 0.000)  0.26